LaAs | PBE | optimized geometry

```
LaAs
1.0
-1.469 -5.879 -0.014
2.535 -5.438 -0.853
1.824 -3.370 6.936
La As
3 3
Cartesian
1.955 -9.722 4.221 La
1.759 -12.369 1.893 La
0.918 -9.232 -0.472 La
1.906 -4.324 6.827 As
0.917 -4.074 2.234 As
1.694 -6.788 4.515 As
```

Results
For the formation energy, the calculation gives -2.650 eV/f.u. For the density of states at the Fermi level, the calculation gives 0.86 states/eV per cell. Its total magnetization is 0.00 μB/atom.